This record from the Alexandria database describes a relaxed ScMnNi2 crystal. The functional is GGA-PBE.

## Properties
ΔH_f (0 K): 51 kJ/mol of formula units
VASP energy: -6.635 eV per atom
DOS(E_F): 5.09 states/eV/f.u.

a = 8.140 Å, b = 8.140 Å, c = 8.140 Å
α = 20.60°, β = 20.60°, γ = 20.60°
Fractional coordinates of all 4 atoms:
Ni  0.003  0.003  0.003
Ni  0.497  0.497  0.497
Mn  0.750  0.750  0.750
Sc  0.250  0.250  0.250